1.
{"formula": "Pu4Pt2Rh", "functional": "GGA-PBE", "state": "relaxed", "cell": [[-7.0513, 1.7248, -1.8064], [1.0470, -7.3839, -0.5840], [1.2660, 2.2048, 7.0353]], "species": ["Pu", "Pu", "Pu", "Pu", "Pu", "Pu", "Pu", "Pu", "Pt", "Pt", "Pt", "Pt", "Rh", "Rh"], "fractional_positions": [[0.1176, 0.8879, 0.3723], [0.6277, 0.7452, 0.5156], [0.2656, 0.2452, 0.8777], [0.6324, 0.7548, 0.0204], [0.1223, 0.3879, 0.3676], [0.9796, 0.6121, 0.7344], [0.4844, 0.1121, 0.2296], [0.7704, 0.2548, 0.8824], [0.8750, 0.1301, 0.5051], [0.2551, 0.6301, 0.1250], [0.3750, 0.8699, 0.7449], [0.4949, 0.3699, 0.6250], [0.7500, 0.5000, 0.2500], [0.0000, 0.0000, 0.0000]]}

2.
{"formula": "Pu12PtRh6", "functional": "GGA-PBE", "state": "relaxed", "de_polymorph_mev_per_atom": 39, "cell": [[-3.6291, -0.9200, 6.9344], [7.9812, -1.7759, 0.9561], [3.4328, 5.1154, 5.4604]], "species": ["Rh", "Rh", "Rh", "Rh", "Rh", "Rh", "Pu", "Pu", "Pu", "Pu", "Pu", "Pu", "Pu", "Pu", "Pu", "Pu", "Pu", "Pu", "Pt"], "fractional_positions": [[0.6594, 0.2467, 0.2807], [0.0599, 0.7193, 0.5274], [0.5873, 0.5274, 0.7533], [0.3406, 0.7533, 0.7193], [0.9401, 0.2807, 0.4726], [0.4127, 0.4726, 0.2467], [0.6323, 0.8163, 0.8957], [0.1101, 0.3719, 0.0607], [0.8292, 0.9393, 0.4327], [0.5279, 0.8957, 0.2881], [0.1840, 0.7119, 0.1837], [0.2619, 0.4327, 0.6281], [0.8899, 0.6281, 0.9393], [0.7381, 0.5673, 0.3719], [0.4721, 0.1043, 0.7119], [0.3677, 0.1837, 0.1043], [0.8160, 0.2881, 0.8163], [0.1708, 0.0607, 0.5673], [0.0000, 0.0000, 0.0000]]}

3.
{"formula": "Pu5Pt2Rh2", "functional": "GGA-PBE", "state": "relaxed", "de_polymorph_mev_per_atom": 0, "cell": [[7.4875, 0.0000, 0.0000], [0.0000, 6.6660, -3.4268], [0.0000, -0.0038, 8.1895]], "species": ["Pu", "Pu", "Pu", "Pu", "Pu", "Pu", "Pu", "Pu", "Pu", "Pu", "Rh", "Rh", "Rh", "Rh", "Pt", "Pt", "Pt", "Pt"], "fractional_positions": [[0.0000, 0.0000, 0.0000], [0.3313, 0.6887, 0.7260], [0.8313, 0.5373, 0.7260], [0.1687, 0.4627, 0.2740], [0.8313, 0.8113, 0.2740], [0.3313, 0.9627, 0.2740], [0.1687, 0.1887, 0.7260], [0.6687, 0.0373, 0.7260], [0.6687, 0.3113, 0.2740], [0.5000, 0.5000, 0.0000], [0.3676, 0.1320, 0.0000], [0.6324, 0.8680, 0.0000], [0.8676, 0.3680, 0.0000], [0.1324, 0.6320, 0.0000], [0.0000, 0.7922, 0.5844], [0.5000, 0.7078, 0.4156], [0.0000, 0.2078, 0.4156], [0.5000, 0.2922, 0.5844]]}

4.
{"formula": "PuPtRh", "functional": "GGA-PBE", "state": "relaxed", "de_polymorph_mev_per_atom": 204, "cell": [[-1.9763, 2.3146, 2.0479], [-3.2360, -2.9523, 0.2140], [3.1623, 0.0115, 3.0387]], "species": ["Pt", "Rh", "Pu"], "fractional_positions": [[0.1667, 0.0000, 0.0000], [0.1667, 0.3333, 0.6667], [0.6667, 0.6667, 0.3333]]}

Number 1: V 23.01 Å³/atom, formation enthalpy at 0 K -0.59 eV/atom, DOS at the Fermi energy 4.431 states/eV/atom. Number 2: V 21.86 Å³/atom, formation enthalpy at 0 K -0.24 eV/atom, DOS at the Fermi energy 4.071 states/eV/atom. Number 3: V 22.70 Å³/atom, formation enthalpy at 0 K -0.56 eV/atom, DOS at the Fermi energy 4.295 states/eV/atom. Number 4: V 20.37 Å³/atom, formation enthalpy at 0 K -0.49 eV/atom, DOS at the Fermi energy 3.247 states/eV/atom.